Entry 1:
YZr2I | PBE | optimized geometry

Cell lengths 11.6890, 11.6890, 11.6890 Å; angles 158.60, 158.60, 30.44 degrees
Closest atoms and distances in Å follow each position.
Element x y z (fractional)
Y: 0.0000 0.0000 0.0000  4 I 3.07, 4 Zr 3.22
Y: 0.7500 0.2500 0.5000  4 I 3.07, 4 Zr 3.22
Zr: 0.1294 0.6250 0.0044  4 Zr 3.04-3.10, 2 I 3.20, 2 Y 3.22
Zr: 0.3750 0.3794 0.5044  4 Zr 3.04-3.10, 2 I 3.20, 2 Y 3.22
Zr: 0.6206 0.1250 0.9956  4 Zr 3.04-3.10, 2 I 3.20, 2 Y 3.22
Zr: 0.8750 0.8706 0.4956  4 Zr 3.04-3.10, 2 I 3.20, 2 Y 3.22
I: 0.2500 0.7500 0.5000  4 Y 3.07, 4 Zr 3.20
I: 0.5000 0.5000 0.0000  4 Y 3.07, 4 Zr 3.20

Calculated values
Distance to the lowest polymorph of the same formula ... 0 meV per atom

=====

Entry 2:
PrLuTlNi | PBE | optimized geometry

Cell lengths 5.1773, 5.1773, 5.1773 Å; angles 60.00, 60.00, 60.00 degrees
Closest atoms and distances in Å follow each position.
Element x y z (fractional)
Pr: 0.0000 0.0000 0.0000  4 Tl 3.17, 4 Ni 3.17
Lu: 0.5000 0.5000 0.5000  4 Ni 3.17, 4 Tl 3.17
Tl: 0.7500 0.7500 0.7500  4 Lu 3.17, 4 Pr 3.17
Ni: 0.2500 0.2500 0.2500  4 Lu 3.17, 4 Pr 3.17

Calculated values
Formation enthalpy at 0 K ... -0.1931 eV per atom

=====

Entry 3:
VInRe | PBE | optimized geometry

Cell lengths 2.8706, 2.9886, 13.8706 Å; angles 93.69, 90.06, 118.42 degrees
Closest atoms and distances in Å follow each position.
Element x y z (fractional)
V: 0.0000 0.0000 0.0000  2 Re 2.40-2.44
V: 0.0995 0.2122 0.5624  2 Re 2.40-2.45
In: 0.7065 0.4064 0.1740  7 In 2.87-3.00, 3 V 2.93-2.97
In: 0.7281 0.4850 0.3883  7 In 2.87-3.00, 3 V 2.93-2.97
Re: 0.1136 0.7455 0.7003  2 V 2.40-2.45
Re: 0.4758 0.4627 0.8626  2 V 2.40-2.44

Calculated values
Formation enthalpy at 0 K ... 0.1948 eV per atom

=====

Entry 4:
CsBeInHg2 | PBE | optimized geometry

Cell lengths 5.3467, 5.3467, 5.1058 Å; angles 90.00, 90.00, 90.00 degrees
Closest atoms and distances in Å follow each position.
Element x y z (fractional)
Cs: 0.0000 0.0000 0.0000  8 Hg 3.70, 4 In 3.78
Be: 0.5000 0.5000 0.5000  2 In 2.55, 4 Hg 2.67
In: 0.5000 0.5000 0.0000  2 Be 2.55
Hg: 0.0000 0.5000 0.5000  2 Be 2.67
Hg: 0.5000 0.0000 0.5000  2 Be 2.67

Calculated values
Formation enthalpy at 0 K ... 0.1140 eV per atom

=====

Entry 5:
Ba3TbTa2O9 | PBE | optimized geometry

Cell lengths 5.9777, 5.9777, 7.3377 Å; angles 90.00, 90.00, 120.00 degrees
Closest atoms and distances in Å follow each position.
Element x y z (fractional)
Ba: 0.0000 0.0000 0.0000  12 O 2.96-2.99
Ba: 0.3333 0.6667 0.6687  12 O 2.98-3.05
Ba: 0.6667 0.3333 0.3313  12 O 2.98-3.05
Tb: 0.0000 0.0000 0.5000  6 O 2.26
Ta: 0.3333 0.6667 0.1622  6 O 1.99-2.10
Ta: 0.6667 0.3333 0.8378  6 O 1.99-2.10
O: 0.0000 0.5000 0.0000  2 Ta 2.10
O: 0.1758 0.3516 0.3173  1 Ta 1.99
O: 0.1758 0.8242 0.3173  1 Ta 1.99
O: 0.3516 0.1758 0.6827  1 Ta 1.99
O: 0.5000 0.0000 0.0000  2 Ta 2.10
O: 0.5000 0.5000 0.0000  2 Ta 2.10
O: 0.6484 0.8242 0.3173  1 Ta 1.99
O: 0.8242 0.1758 0.6827  1 Ta 1.99
O: 0.8242 0.6484 0.6827  1 Ta 1.99

Calculated values
Raw total energy ... -8.290 eV/atom

=====

Entry 6:
FePt2 | PBE | optimized geometry

Cell lengths 4.1290, 4.1290, 4.1290 Å; angles 60.00, 60.00, 60.00 degrees
Closest atoms and distances in Å follow each position.
Element x y z (fractional)
Fe: 0.0000 0.0000 0.0000  8 Pt 2.53
Pt: 0.2500 0.2500 0.2500  4 Fe 2.53
Pt: 0.7500 0.7500 0.7500  4 Fe 2.53

Calculated values
Formation enthalpy at 0 K ... -0.0141 eV per atom

=====

no.,volume (A^3/atom)
1,26.55
2,24.53
3,17.39
4,29.19
5,15.14
6,16.59